Cs2KSn2: optimized geometry, PBE.

a b c (Å): 9.556 9.556 5.954
angles (deg): 90.00 90.00 90.00
Sites, in units of the cell vectors:
Cs: 0.183 0.683 0.500
K: 0.000 0.000 0.000
Sn: 0.899 0.601 0.000
Sn: 0.601 0.101 0.000
Cs: 0.817 0.317 0.500
Cs: 0.317 0.183 0.500
Sn: 0.101 0.399 0.000
Sn: 0.399 0.899 0.000
Cs: 0.683 0.817 0.500
K: 0.500 0.500 0.000

Results
The raw total energy is -2.2657 eV per atom. Its formation energy is -104 meV per atom. The volume comes out at 543.6 Å³/cell. The calculation puts the energy above the most stable polymorph in this dataset at 0.21 eV per formula unit. The density of states at the Fermi level comes out at 11.1 states/eV per cell.

---

CsK2Sn2: optimized geometry, PBE.

a b c (Å): 4.735 7.269 7.816
angles (deg): 100.03 107.63 90.00
Sites, in units of the cell vectors:
K: 0.347 0.427 0.695
Cs: 0.000 0.000 0.000
Sn: 0.724 0.096 0.448
K: 0.653 0.573 0.305
Sn: 0.276 0.904 0.552

Results
The raw total energy is -2.3829 eV per atom. Its formation energy is -172 meV per atom. The volume comes out at 252.1 Å³/cell. The calculation puts the energy above the most stable polymorph in this dataset at 0.00 eV per formula unit. The density of states at the Fermi level comes out at 3.5 states/eV per cell.

---

CsKSrSn: optimized geometry, PBE.

a b c (Å): 6.165 6.165 6.165
angles (deg): 60.00 60.00 60.00
Sites, in units of the cell vectors:
Cs: 0.000 0.000 0.000
Sn: 0.500 0.500 0.500
K: 0.750 0.750 0.750
Sr: 0.250 0.250 0.250

Results
The raw total energy is -2.0718 eV per atom. Its formation energy is -163 meV per atom. The volume comes out at 165.7 Å³/cell. The density of states at the Fermi level comes out at 0.8 states/eV per cell.

---

CsKSnTe2: optimized geometry, PBE.

a b c (Å): 4.639 7.909 13.827
angles (deg): 102.39 90.00 107.05
Sites, in units of the cell vectors:
Te: 0.605 0.210 0.354
Sn: 0.066 0.132 0.214
Cs: 0.656 0.312 0.647
Sn: 0.934 0.868 0.786
Te: 0.395 0.790 0.646
K: 0.354 0.709 0.955
Te: 0.875 0.750 0.146
Te: 0.125 0.250 0.854
K: 0.646 0.291 0.045
Cs: 0.344 0.688 0.353

Results
The raw total energy is -3.1743 eV per atom. The uncorrected formation energy is -0.727 eV/atom. The volume comes out at 472.6 Å³/cell.

---

Cs2KSnTe4: optimized geometry, PBE.

a b c (Å): 7.405 9.214 13.525
angles (deg): 83.69 74.11 66.31
Sites, in units of the cell vectors:
K: 0.000 0.000 0.000
Te: 0.891 0.707 0.635
Cs: 0.937 0.500 0.127
Te: 0.859 0.793 0.865
Te: 0.276 0.207 0.865
Sn: 0.500 0.000 0.000
Te: 0.233 0.293 0.365
Cs: 0.187 0.000 0.627
Te: 0.402 0.707 0.365
Cs: 0.813 0.000 0.373
Cs: 0.563 0.500 0.873
Te: 0.517 0.207 0.135
Te: 0.348 0.793 0.135
Sn: 0.250 0.500 0.500
Te: 0.474 0.293 0.635
K: 0.750 0.500 0.500

Results
The raw total energy is -3.0547 eV per atom. The uncorrected formation energy is -0.633 eV/atom. The volume comes out at 812.7 Å³/cell. The density of states at the Fermi level comes out at 7.9 states/eV per cell.

---

Cs2KTlSn: optimized geometry, PBE.

a b c (Å): 7.767 7.767 5.779
angles (deg): 90.00 90.00 90.00
Sites, in units of the cell vectors:
Tl: 0.000 0.000 0.500
K: 0.500 0.500 0.500
Cs: 0.500 0.000 0.000
Sn: 0.000 0.000 0.000
Cs: 0.000 0.500 0.000

Results
The raw total energy is -1.7923 eV per atom. Its formation energy is 42 meV per atom. The volume comes out at 348.6 Å³/cell. The density of states at the Fermi level comes out at 5.0 states/eV per cell.

---

What did the fifth record say?
Cs2KSnTe4: optimized geometry, PBE.

a b c (Å): 7.405 9.214 13.525
angles (deg): 83.69 74.11 66.31
Sites, in units of the cell vectors:
K: 0.000 0.000 0.000
Te: 0.891 0.707 0.635
Cs: 0.937 0.500 0.127
Te: 0.859 0.793 0.865
Te: 0.276 0.207 0.865
Sn: 0.500 0.000 0.000
Te: 0.233 0.293 0.365
Cs: 0.187 0.000 0.627
Te: 0.402 0.707 0.365
Cs: 0.813 0.000 0.373
Cs: 0.563 0.500 0.873
Te: 0.517 0.207 0.135
Te: 0.348 0.793 0.135
Sn: 0.250 0.500 0.500
Te: 0.474 0.293 0.635
K: 0.750 0.500 0.500

Results
The raw total energy is -3.0547 eV per atom. The uncorrected formation energy is -0.633 eV/atom. The volume comes out at 812.7 Å³/cell. The density of states at the Fermi level comes out at 7.9 states/eV per cell.

---

What is the volume in the fifth record?
812.7 Å³/cell